A | Material: CuIrOsF
Method: DFT, PBE
State: optimized geometry

a = 2.620 Å, b = 2.720 Å, c = 7.797 Å
α = 90.00°, β = 90.00°, γ = 90.00°
Atoms (fractional coordinates):
Ir  0.500  0.000  0.122
Os  0.500  0.500  0.392
Cu  0.000  0.500  0.876
F  0.500  0.500  0.663

**Fermi-level density of states**: 2.9 states/eV/f.u.

---

B | Material: CuIrOsF
Method: DFT, PBE
State: optimized geometry

a = 2.736 Å, b = 2.738 Å, c = 8.152 Å
α = 84.11°, β = 80.26°, γ = 60.01°
Atoms (fractional coordinates):
Ir  0.271  0.274  0.135
Os  0.818  0.918  0.397
Cu  0.047  0.986  0.869
F  0.700  0.896  0.653

**Fermi-level density of states**: 2.1 states/eV/f.u.

---

C | Material: CuIrOsF
Method: DFT, PBE
State: optimized geometry

a = 2.722 Å, b = 3.736 Å, c = 6.504 Å
α = 90.00°, β = 90.00°, γ = 90.00°
Atoms (fractional coordinates):
Ir  0.500  0.500  0.161
Os  0.000  0.000  0.323
Cu  0.000  0.000  0.936
F  0.000  0.000  0.633

**Fermi-level density of states**: 1.5 states/eV/f.u.

---

D | Material: CuIrOsF
Method: DFT, PBE
State: optimized geometry

a = 2.715 Å, b = 3.745 Å, c = 6.452 Å
α = 90.00°, β = 101.93°, γ = 90.00°
Atoms (fractional coordinates):
Ir  0.332  0.500  0.842
Os  0.751  0.000  0.676
Cu  0.948  0.000  0.077
F  0.591  0.000  0.352

**Fermi-level density of states**: 1.3 states/eV/f.u.

---

Of them, B has the highest stability.

---

A | Material: CuIrOsF
Method: DFT, PBE
State: optimized geometry

a = 2.724 Å, b = 2.725 Å, c = 14.842 Å
α = 90.00°, β = 90.00°, γ = 90.00°
Atoms (fractional coordinates):
Ir  0.000  0.000  0.431
Ir  0.000  0.500  0.931
Os  0.500  0.000  0.811
Os  0.500  0.500  0.311
Cu  0.500  0.000  0.056
Cu  0.500  0.500  0.556
F  0.500  0.000  0.675
F  0.500  0.500  0.175

**Fermi-level density of states**: 2.2 states/eV/f.u.

---

B | Material: CuIrOsF
Method: DFT, PBE
State: optimized geometry

a = 2.735 Å, b = 2.727 Å, c = 14.915 Å
α = 90.00°, β = 90.20°, γ = 90.00°
Atoms (fractional coordinates):
Ir  0.302  0.000  0.074
Ir  0.302  0.500  0.574
Os  0.804  0.000  0.692
Os  0.804  0.500  0.192
Cu  0.799  0.000  0.450
Cu  0.799  0.500  0.950
F  0.807  0.000  0.311
F  0.807  0.500  0.811

**Fermi-level density of states**: 2.5 states/eV/f.u.

---

Of them, A has the highest stability.

---

A | Material: Cu2SiIrF
Method: DFT, PBE
State: optimized geometry

a = 4.422 Å, b = 4.394 Å, c = 4.422 Å
α = 90.00°, β = 90.00°, γ = 90.00°
Atoms (fractional coordinates):
Si  0.000  0.000  0.000
Ir  0.000  0.500  0.000
Cu  0.000  0.000  0.500
Cu  0.500  0.000  0.000
F  0.500  0.500  0.500

**Fermi-level density of states**: 4.4 states/eV/f.u.

---

B | Material: Cu2SiIrF
Method: DFT, PBE
State: optimized geometry

a = 4.743 Å, b = 4.491 Å, c = 4.743 Å
α = 90.00°, β = 90.00°, γ = 90.00°
Atoms (fractional coordinates):
Si  0.000  0.500  0.000
Ir  0.000  0.000  0.000
Cu  0.000  0.000  0.500
Cu  0.500  0.000  0.000
F  0.500  0.500  0.500

**Fermi-level density of states**: 4.3 states/eV/f.u.

---

Of them, B has the highest stability.

---

A | Material: KCu3F8
Method: DFT, PBE
State: optimized geometry

a = 5.324 Å, b = 5.324 Å, c = 7.259 Å
α = 90.00°, β = 90.00°, γ = 120.00°
Site moments in Bohr magnetons follow the coordinates.
Atoms (fractional coordinates):
K  0.000  0.000  0.500  0.00
Cu  0.667  0.333  0.796  0.81
Cu  0.333  0.667  0.204  0.81
Cu  0.000  0.000  0.000  0.95
F  0.704  0.006  0.157  0.15
F  0.302  0.296  0.157  0.15
F  0.994  0.698  0.157  0.15
F  0.296  0.994  0.843  0.15
F  0.698  0.704  0.843  0.15
F  0.006  0.302  0.843  0.15
F  0.667  0.333  0.545  0.22
F  0.333  0.667  0.455  0.22

**Fermi-level density of states**: 8.5 states/eV/f.u.

---

B | Material: KCu3F8
Method: DFT, PBE
State: optimized geometry

a = 6.889 Å, b = 7.392 Å, c = 5.105 Å
α = 129.46°, β = 90.00°, γ = 117.77°
Site moments in Bohr magnetons follow the coordinates.
Atoms (fractional coordinates):
K  0.000  0.000  0.000  0.00
Cu  0.500  0.000  0.000  0.81
Cu  0.500  0.500  0.000  -0.47
Cu  0.000  0.500  0.000  -0.47
F  0.164  0.328  0.751  -0.09
F  0.836  0.672  0.249  -0.09
F  0.397  0.189  0.942  0.02
F  0.792  0.189  0.942  0.02
F  0.665  0.331  0.525  0.10
F  0.335  0.669  0.475  0.10
F  0.208  0.811  0.058  0.02
F  0.603  0.811  0.058  0.02

**Fermi-level density of states**: 3.9 states/eV/f.u.

---

Of them, B has the highest stability.

---

A | Material: K2CuF
Method: DFT, PBE
State: optimized geometry

a = 5.255 Å, b = 5.255 Å, c = 5.255 Å
α = 60.00°, β = 60.00°, γ = 60.00°
Atoms (fractional coordinates):
K  0.250  0.250  0.250
K  0.750  0.750  0.750
Cu  0.500  0.500  0.500
F  0.000  0.000  0.000

**Fermi-level density of states**: 0.0 states/eV/f.u.

---

B | Material: K2CuF
Method: DFT, PBE
State: optimized geometry

a = 7.597 Å, b = 7.597 Å, c = 6.951 Å
α = 56.87°, β = 56.87°, γ = 90.00°
Atoms (fractional coordinates):
K  0.542  0.125  0.250
K  0.208  0.625  0.250
K  0.375  0.458  0.750
K  0.875  0.792  0.750
Cu  0.000  0.000  0.000
Cu  0.750  0.250  0.500
F  0.500  0.500  0.000
F  0.250  0.750  0.500

**Fermi-level density of states**: 0.0 states/eV/f.u.

---

Of them, B has the highest stability.

---

A | Material: KCuF2
Method: DFT, PBE
State: optimized geometry

a = 3.558 Å, b = 6.597 Å, c = 11.933 Å
α = 90.00°, β = 90.00°, γ = 90.00°
Atoms (fractional coordinates):
K  0.750  0.483  0.654
K  0.250  0.017  0.154
K  0.250  0.517  0.346
K  0.750  0.983  0.846
Cu  0.750  0.037  0.415
Cu  0.250  0.463  0.915
Cu  0.250  0.963  0.585
Cu  0.750  0.537  0.085
F  0.750  0.302  0.462
F  0.250  0.198  0.962
F  0.250  0.698  0.538
F  0.750  0.802  0.038
F  0.750  0.823  0.314
F  0.250  0.677  0.814
F  0.250  0.177  0.686
F  0.750  0.323  0.186

**Fermi-level density of states**: 0.0 states/eV/f.u.

---

B | Material: KCuF2
Method: DFT, PBE
State: optimized geometry

a = 4.290 Å, b = 4.290 Å, c = 4.290 Å
α = 60.00°, β = 60.00°, γ = 60.00°
Atoms (fractional coordinates):
K  0.000  0.000  0.000
Cu  0.500  0.500  0.500
F  0.250  0.250  0.250
F  0.750  0.750  0.750

**Fermi-level density of states**: 0.0 states/eV/f.u.

---

Of them, A has the highest stability.

---

A | Material: K2CuF2
Method: DFT, PBE
State: optimized geometry

a = 5.295 Å, b = 5.295 Å, c = 6.173 Å
α = 64.60°, β = 64.60°, γ = 90.00°
Atoms (fractional coordinates):
K  0.750  0.250  0.500
K  0.250  0.750  0.500
Cu  0.000  0.000  0.000
F  0.200  0.200  0.600
F  0.800  0.800  0.400

**Fermi-level density of states**: 2.2 states/eV/f.u.

---

B | Material: K2CuF2
Method: DFT, PBE
State: optimized geometry

a = 4.874 Å, b = 4.874 Å, c = 6.536 Å
α = 68.11°, β = 68.11°, γ = 90.00°
Site moments in Bohr magnetons follow the coordinates.
Atoms (fractional coordinates):
K  0.320  0.320  0.360  0.00
K  0.680  0.680  0.640  0.00
Cu  0.000  0.000  0.000  0.15
F  0.750  0.250  0.500  0.03
F  0.250  0.750  0.500  0.03

**Fermi-level density of states**: 1.7 states/eV/f.u.

---

C | Material: K2CuF2
Method: DFT, PBE
State: optimized geometry

a = 7.553 Å, b = 7.553 Å, c = 3.252 Å
α = 90.00°, β = 90.00°, γ = 90.00°
Atoms (fractional coordinates):
K  0.149  0.649  0.500
K  0.649  0.851  0.500
K  0.851  0.351  0.500
K  0.351  0.149  0.500
Cu  0.000  0.000  0.000
Cu  0.500  0.500  0.000
F  0.347  0.847  0.000
F  0.847  0.653  0.000
F  0.653  0.153  0.000
F  0.153  0.347  0.000

**Fermi-level density of states**: 1.3 states/eV/f.u.

---

D | Material: K2CuF2
Method: DFT, PBE
State: optimized geometry

a = 7.850 Å, b = 7.850 Å, c = 3.057 Å
α = 90.00°, β = 90.00°, γ = 90.00°
Atoms (fractional coordinates):
K  0.356  0.856  0.000
K  0.856  0.644  0.000
K  0.644  0.144  0.000
K  0.144  0.356  0.000
Cu  0.000  0.000  0.000
Cu  0.500  0.500  0.000
F  0.149  0.649  0.500
F  0.649  0.851  0.500
F  0.851  0.351  0.500
F  0.351  0.149  0.500

**Fermi-level density of states**: 0.7 states/eV/f.u.

---

Of them, A has the highest stability.

---

A | Material: KCu2F8
Method: DFT, PBE
State: optimized geometry

a = 5.425 Å, b = 5.425 Å, c = 7.260 Å
α = 111.94°, β = 111.94°, γ = 90.00°
Site moments in Bohr magnetons follow the coordinates.
Atoms (fractional coordinates):
K  0.500  0.500  0.000  0.00
Cu  0.250  0.750  0.500  0.19
Cu  0.750  0.250  0.500  0.19
F  0.985  0.814  0.299  0.09
F  0.186  0.015  0.701  0.09
F  0.515  0.686  0.701  0.09
F  0.686  0.186  0.701  0.09
F  0.314  0.485  0.299  0.09
F  0.485  0.985  0.299  0.09
F  0.814  0.314  0.299  0.09
F  0.015  0.515  0.701  0.09

**Fermi-level density of states**: 14.5 states/eV/f.u.

---

B | Material: KCu2F8
Method: DFT, PBE
State: optimized geometry

a = 4.876 Å, b = 4.876 Å, c = 6.522 Å
α = 90.00°, β = 90.00°, γ = 90.00°
Site moments in Bohr magnetons follow the coordinates.
Atoms (fractional coordinates):
K  0.500  0.500  0.500  0.00
Cu  0.500  0.000  0.000  0.99
Cu  0.000  0.500  0.000  0.99
F  0.752  0.752  0.182  0.36
F  0.752  0.248  0.818  0.36
F  0.752  0.752  0.818  0.36
F  0.752  0.248  0.182  0.36
F  0.248  0.752  0.182  0.36
F  0.248  0.752  0.818  0.36
F  0.248  0.248  0.182  0.36
F  0.248  0.248  0.818  0.36

**Fermi-level density of states**: 8.0 states/eV/f.u.

---

Of them, A has the highest stability.

---

A | Material: K3CuF8
Method: DFT, PBE
State: optimized geometry

a = 5.906 Å, b = 5.906 Å, c = 7.068 Å
α = 114.70°, β = 114.70°, γ = 90.00°
Site moments in Bohr magnetons follow the coordinates.
Atoms (fractional coordinates):
K  0.750  0.250  0.500  0.00
K  0.500  0.500  0.000  0.00
K  0.250  0.750  0.500  0.00
Cu  0.000  0.000  0.000  1.09
F  0.309  0.309  0.210  0.33
F  0.309  0.901  0.210  0.33
F  0.099  0.691  0.790  0.33
F  0.099  0.099  0.790  0.33
F  0.901  0.901  0.210  0.33
F  0.901  0.309  0.210  0.33
F  0.691  0.099  0.790  0.33
F  0.691  0.691  0.790  0.33

**Fermi-level density of states**: 9.1 states/eV/f.u.

---

B | Material: K3CuF8
Method: DFT, PBE
State: optimized geometry

a = 6.413 Å, b = 6.883 Å, c = 6.413 Å
α = 62.24°, β = 90.00°, γ = 117.76°
Site moments in Bohr magnetons follow the coordinates.
Atoms (fractional coordinates):
K  0.750  0.500  0.750  0.00
K  0.250  0.500  0.250  0.00
K  0.500  0.000  0.500  0.00
Cu  0.000  0.000  0.000  0.05
F  0.371  0.526  0.845  0.45
F  0.155  0.526  0.629  0.45
F  0.629  0.474  0.371  0.45
F  0.845  0.474  0.155  0.45
F  0.796  0.987  0.809  0.02
F  0.191  0.987  0.204  0.02
F  0.204  0.013  0.796  0.02
F  0.809  0.013  0.191  0.02

---

Of them, B has the highest stability.